Model i:
Density functional theory data (PBE-GGA) for a relaxed structure of CsLaOs.

Crystal system = cubic
Space-group type = No. 216
Size of the total moment = 1.0 Bohr magnetons per cell

Cell lengths 6.1789, 6.1789, 6.1789 Å; angles 60.00, 60.00, 60.00 degrees
With the nearest neighbours (Å) after each atom.
Positions (direct):
1 Cs 0.0000 0.0000 0.0000  4 La 3.78, 4 Os 3.78
2 La 0.7500 0.7500 0.7500  4 Cs 3.78
3 Os 0.2500 0.2500 0.2500  4 Cs 3.78

---

Model ii:
Density functional theory data (PBE-GGA) for a relaxed structure of CsLaOs.

Crystal system = cubic
Space-group type = No. 216
Size of the total moment = 0.0 Bohr magnetons per cell

Cell lengths 5.1098, 5.1098, 5.1098 Å; angles 60.00, 60.00, 60.00 degrees
With the nearest neighbours (Å) after each atom.
Positions (direct):
1 Cs 0.0000 0.0000 0.0000  4 Os 3.13
2 La 0.5000 0.5000 0.5000  4 Os 3.13
3 Os 0.2500 0.2500 0.2500  4 La 3.13, 4 Cs 3.13

---

Result of the stability comparison: model i is the least stable of them.

---

Model i:
Density functional theory data (PBE-GGA) for a relaxed structure of CsLaPdSe3.

Crystal system = orthorhombic
Space-group type = No. 63
Size of the total moment = 0.0 Bohr magnetons per cell

Cell lengths 8.9353, 8.9353, 10.3043 Å; angles 90.00, 90.00, 151.18 degrees
With the nearest neighbours (Å) after each atom.
Positions (direct):
1 Cs 0.2486 0.7514 0.7500  6 Se 3.59-3.71
2 Cs 0.7514 0.2486 0.2500  6 Se 3.59-3.71
3 La 0.0000 0.0000 0.0000  6 Se 3.00-3.03
4 La 0.0000 0.0000 0.5000  6 Se 3.00-3.03
5 Pd 0.4965 0.5035 0.7500  4 Se 2.49-2.67
6 Pd 0.5035 0.4965 0.2500  4 Se 2.49-2.67
7 Se 0.0888 0.9112 0.2500  2 Pd 2.67
8 Se 0.3945 0.6055 0.0916  1 Pd 2.49
9 Se 0.3945 0.6055 0.4084  1 Pd 2.49
10 Se 0.6055 0.3945 0.5916  1 Pd 2.49
11 Se 0.6055 0.3945 0.9084  1 Pd 2.49
12 Se 0.9112 0.0888 0.7500  2 Pd 2.67

---

Model ii:
Density functional theory data (PBE-GGA) for a relaxed structure of CsLaPdSe3.

Crystal system = orthorhombic
Space-group type = No. 63
Size of the total moment = 0.0 Bohr magnetons per cell

Cell lengths 7.7429, 7.7429, 11.8969 Å; angles 90.00, 90.00, 145.69 degrees
With the nearest neighbours (Å) after each atom.
Positions (direct):
1 Cs 0.2291 0.7709 0.7500  2 Pd 3.82, 9 Se 3.89-4.06
2 Cs 0.7709 0.2291 0.2500  2 Pd 3.82, 9 Se 3.89-4.06
3 La 0.5000 0.5000 0.0000  6 Se 2.97-3.01
4 La 0.5000 0.5000 0.5000  6 Se 2.97-3.01
5 Pd 0.0638 0.9362 0.2500  4 Se 2.48-2.54
6 Pd 0.9362 0.0638 0.7500  4 Se 2.48-2.54
7 Se 0.1262 0.8738 0.0512  1 Pd 2.54
8 Se 0.1262 0.8738 0.4488  1 Pd 2.54
9 Se 0.4980 0.5020 0.2500  2 Pd 2.48
10 Se 0.5020 0.4980 0.7500  2 Pd 2.48
11 Se 0.8738 0.1262 0.5512  1 Pd 2.54
12 Se 0.8738 0.1262 0.9488  1 Pd 2.54

---

Result of the stability comparison: model i is the least stable of them.

---

Model i:
Density functional theory data (PBE-GGA) for a relaxed structure of CsLaZr.

Crystal system = cubic
Space-group type = No. 216
Size of the total moment = 0.0 Bohr magnetons per cell

Cell lengths 5.3486, 5.3486, 5.3486 Å; angles 60.00, 60.00, 60.00 degrees
With the nearest neighbours (Å) after each atom.
Positions (direct):
1 Cs 0.0000 0.0000 0.0000  4 La 3.28, 4 Zr 3.28
2 La 0.7500 0.7500 0.7500  4 Cs 3.28
3 Zr 0.2500 0.2500 0.2500  4 Cs 3.28

---

Model ii:
Density functional theory data (PBE-GGA) for a relaxed structure of CsLaZr.

Crystal system = cubic
Space-group type = No. 216
Size of the total moment = 4.3 Bohr magnetons per cell

Cell lengths 5.8041, 5.8041, 5.8041 Å; angles 60.00, 60.00, 60.00 degrees
With the nearest neighbours (Å) after each atom.
Positions (direct):
1 Cs 0.0000 0.0000 0.0000  4 Zr 3.55
2 La 0.5000 0.5000 0.5000  4 Zr 3.55
3 Zr 0.2500 0.2500 0.2500  4 La 3.55, 4 Cs 3.55

---

Result of the stability comparison: model i is the least stable of them.

---

Model i:
Density functional theory data (PBE-GGA) for a relaxed structure of CsLiNiMo.

Crystal system = cubic
Space-group type = No. 216
Size of the total moment = 3.7 Bohr magnetons per cell

Cell lengths 4.8588, 4.8588, 4.8588 Å; angles 60.00, 60.00, 60.00 degrees
With the nearest neighbours (Å) after each atom.
Positions (direct):
1 Cs 0.0000 0.0000 0.0000  4 Mo 2.98, 4 Ni 2.98
2 Li 0.5000 0.5000 0.5000  4 Ni 2.98, 4 Mo 2.98
3 Ni 0.7500 0.7500 0.7500  4 Li 2.98, 4 Cs 2.98
4 Mo 0.2500 0.2500 0.2500  4 Li 2.98, 4 Cs 2.98

---

Model ii:
Density functional theory data (PBE-GGA) for a relaxed structure of CsLiNiMo.

Crystal system = cubic
Space-group type = No. 216
Size of the total moment = 0.6 Bohr magnetons per cell

Cell lengths 4.6982, 4.6982, 4.6982 Å; angles 60.00, 60.00, 60.00 degrees
With the nearest neighbours (Å) after each atom.
Positions (direct):
1 Cs 0.0000 0.0000 0.0000  4 Mo 2.88, 4 Li 2.88
2 Li 0.2500 0.2500 0.2500  4 Ni 2.88, 4 Cs 2.88
3 Ni 0.5000 0.5000 0.5000  4 Li 2.88, 4 Mo 2.88
4 Mo 0.7500 0.7500 0.7500  4 Ni 2.88, 4 Cs 2.88

---

Model iii:
Density functional theory data (PBE-GGA) for a relaxed structure of CsLiNiMo.

Crystal system = cubic
Space-group type = No. 216
Size of the total moment = 4.2 Bohr magnetons per cell

Cell lengths 4.9865, 4.9865, 4.9865 Å; angles 60.00, 60.00, 60.00 degrees
With the nearest neighbours (Å) after each atom.
Positions (direct):
1 Cs 0.0000 0.0000 0.0000  4 Li 3.05, 4 Ni 3.05
2 Li 0.7500 0.7500 0.7500  4 Mo 3.05, 4 Cs 3.05
3 Ni 0.2500 0.2500 0.2500  4 Mo 3.05, 4 Cs 3.05
4 Mo 0.5000 0.5000 0.5000  4 Li 3.05, 4 Ni 3.05

---

Result of the stability comparison: model i is the least stable of them.

---

Model i:
Density functional theory data (PBE-GGA) for a relaxed structure of CsLiNb.

Crystal system = cubic
Space-group type = No. 216
Size of the total moment = 5.0 Bohr magnetons per cell

Cell lengths 5.7477, 5.7477, 5.7477 Å; angles 60.00, 60.00, 60.00 degrees
With the nearest neighbours (Å) after each atom.
Positions (direct):
1 Cs 0.0000 0.0000 0.0000  4 Li 3.52, 4 Nb 3.52
2 Li 0.7500 0.7500 0.7500  4 Cs 3.52
3 Nb 0.2500 0.2500 0.2500  4 Cs 3.52

---

Model ii:
Density functional theory data (PBE-GGA) for a relaxed structure of CsLiNb.

Crystal system = trigonal
Space-group type = No. 160
Size of the total moment = 1.6 Bohr magnetons per cell

Cell lengths 4.2791, 4.2791, 4.2791 Å; angles 80.17, 80.17, 80.17 degrees
With the nearest neighbours (Å) after each atom.
Positions (direct):
1 Cs 0.0000 0.0000 0.0000  4 Nb 2.85-3.18, 4 Li 2.97-3.18
2 Li 0.3455 0.3455 0.3455  1 Nb 2.77, 1 Cs 2.97
3 Nb 0.6678 0.6678 0.6678  1 Li 2.77, 1 Cs 2.85

---

Result of the stability comparison: model i is the least stable of them.

---

Model i:
Density functional theory data (PBE-GGA) for a relaxed structure of CsLiNd.

Crystal system = cubic
Space-group type = No. 216
Size of the total moment = 0.1 Bohr magnetons per cell

Cell lengths 5.8124, 5.8124, 5.8124 Å; angles 60.00, 60.00, 60.00 degrees
With the nearest neighbours (Å) after each atom.
Positions (direct):
1 Cs 0.0000 0.0000 0.0000  4 Li 3.56
2 Li 0.2500 0.2500 0.2500  4 Nd 3.56, 4 Cs 3.56
3 Nd 0.5000 0.5000 0.5000  4 Li 3.56

---

Model ii:
Density functional theory data (PBE-GGA) for a relaxed structure of CsLiNd.

Crystal system = cubic
Space-group type = No. 216
Size of the total moment = 0.0 Bohr magnetons per cell

Cell lengths 5.3359, 5.3359, 5.3359 Å; angles 60.00, 60.00, 60.00 degrees
With the nearest neighbours (Å) after each atom.
Positions (direct):
1 Cs 0.0000 0.0000 0.0000  4 Li 3.27, 4 Nd 3.27
2 Li 0.7500 0.7500 0.7500  4 Cs 3.27
3 Nd 0.2500 0.2500 0.2500  4 Cs 3.27

---

Result of the stability comparison: model ii is the least stable of them.

---

Model i:
Density functional theory data (PBE-GGA) for a relaxed structure of CsLiPa.

Crystal system = cubic
Space-group type = No. 216
Size of the total moment = 1.3 Bohr magnetons per cell

Cell lengths 4.9936, 4.9936, 4.9936 Å; angles 60.00, 60.00, 60.00 degrees
With the nearest neighbours (Å) after each atom.
Positions (direct):
1 Cs 0.0000 0.0000 0.0000  4 Li 3.06, 4 Pa 3.06
2 Li 0.2500 0.2500 0.2500  4 Cs 3.06
3 Pa 0.7500 0.7500 0.7500  4 Cs 3.06

---

Model ii:
Density functional theory data (PBE-GGA) for a relaxed structure of CsLiPa.

Crystal system = cubic
Space-group type = No. 216
Size of the total moment = 2.8 Bohr magnetons per cell

Cell lengths 5.5560, 5.5560, 5.5560 Å; angles 60.00, 60.00, 60.00 degrees
With the nearest neighbours (Å) after each atom.
Positions (direct):
1 Cs 0.0000 0.0000 0.0000  4 Li 3.40
2 Li 0.2500 0.2500 0.2500  4 Pa 3.40, 4 Cs 3.40
3 Pa 0.5000 0.5000 0.5000  4 Li 3.40

---

Result of the stability comparison: model i is the least stable of them.

---

Model i:
Density functional theory data (PBE-GGA) for a relaxed structure of CsLiPm.

Crystal system = cubic
Space-group type = No. 216
Size of the total moment = 0.2 Bohr magnetons per cell

Cell lengths 5.3558, 5.3558, 5.3558 Å; angles 60.00, 60.00, 60.00 degrees
With the nearest neighbours (Å) after each atom.
Positions (direct):
1 Cs 0.0000 0.0000 0.0000  4 Pm 3.28, 4 Li 3.28
2 Li 0.2500 0.2500 0.2500  4 Cs 3.28
3 Pm 0.7500 0.7500 0.7500  4 Cs 3.28

---

Model ii:
Density functional theory data (PBE-GGA) for a relaxed structure of CsLiPm.

Crystal system = cubic
Space-group type = No. 216
Size of the total moment = 1.3 Bohr magnetons per cell

Cell lengths 5.8491, 5.8491, 5.8491 Å; angles 60.00, 60.00, 60.00 degrees
With the nearest neighbours (Å) after each atom.
Positions (direct):
1 Cs 0.0000 0.0000 0.0000  4 Pm 3.58
2 Li 0.5000 0.5000 0.5000  4 Pm 3.58
3 Pm 0.2500 0.2500 0.2500  4 Li 3.58, 4 Cs 3.58

---

Result of the stability comparison: model i is the least stable of them.

---

Model i:
Density functional theory data (PBE-GGA) for a relaxed structure of CsLiPt.

Crystal system = cubic
Space-group type = No. 216
Size of the total moment = 0.0 Bohr magnetons per cell

Cell lengths 5.1380, 5.1380, 5.1380 Å; angles 60.00, 60.00, 60.00 degrees
With the nearest neighbours (Å) after each atom.
Positions (direct):
1 Cs 0.0000 0.0000 0.0000  4 Li 3.15, 4 Pt 3.15
2 Li 0.7500 0.7500 0.7500  4 Cs 3.15
3 Pt 0.2500 0.2500 0.2500  4 Cs 3.15

---

Model ii:
Density functional theory data (PBE-GGA) for a relaxed structure of CsLiPt.

Crystal system = cubic
Space-group type = No. 216
Size of the total moment = 0.0 Bohr magnetons per cell

Cell lengths 5.1149, 5.1149, 5.1149 Å; angles 60.00, 60.00, 60.00 degrees
With the nearest neighbours (Å) after each atom.
Positions (direct):
1 Cs 0.0000 0.0000 0.0000  4 Pt 3.13
2 Li 0.5000 0.5000 0.5000  4 Pt 3.13
3 Pt 0.2500 0.2500 0.2500  4 Li 3.13, 4 Cs 3.13

---

Result of the stability comparison: model i is the least stable of them.

---

Model i:
Density functional theory data (PBE-GGA) for a relaxed structure of CsLiTePt.

Crystal system = cubic
Space-group type = No. 216
Size of the total moment = 0.0 Bohr magnetons per cell

Cell lengths 5.2397, 5.2397, 5.2397 Å; angles 60.00, 60.00, 60.00 degrees
With the nearest neighbours (Å) after each atom.
Positions (direct):
1 Cs 0.0000 0.0000 0.0000  4 Li 3.21, 4 Pt 3.21
2 Li 0.7500 0.7500 0.7500  4 Te 3.21, 4 Cs 3.21
3 Te 0.5000 0.5000 0.5000  4 Li 3.21, 4 Pt 3.21
4 Pt 0.2500 0.2500 0.2500  4 Te 3.21, 4 Cs 3.21

---

Model ii:
Density functional theory data (PBE-GGA) for a relaxed structure of CsLiTePt.

Crystal system = cubic
Space-group type = No. 216
Size of the total moment = 0.4 Bohr magnetons per cell

Cell lengths 5.5095, 5.5095, 5.5095 Å; angles 60.00, 60.00, 60.00 degrees
With the nearest neighbours (Å) after each atom.
Positions (direct):
1 Cs 0.0000 0.0000 0.0000  4 Te 3.37, 4 Pt 3.37
2 Li 0.5000 0.5000 0.5000  4 Te 3.37, 4 Pt 3.37
3 Te 0.2500 0.2500 0.2500  4 Li 3.37, 4 Cs 3.37
4 Pt 0.7500 0.7500 0.7500  4 Li 3.37, 4 Cs 3.37

---

Result of the stability comparison: model ii is the least stable of them.

---

Model i:
Density functional theory data (PBE-GGA) for a relaxed structure of CsLiPtW.

Crystal system = cubic
Space-group type = No. 216
Size of the total moment = 0.0 Bohr magnetons per cell

Cell lengths 4.7697, 4.7697, 4.7697 Å; angles 60.00, 60.00, 60.00 degrees
With the nearest neighbours (Å) after each atom.
Positions (direct):
1 Cs 0.0000 0.0000 0.0000  4 W 2.92, 4 Li 2.92
2 Li 0.2500 0.2500 0.2500  4 Pt 2.92, 4 Cs 2.92
3 Pt 0.5000 0.5000 0.5000  4 W 2.92, 4 Li 2.92
4 W 0.7500 0.7500 0.7500  4 Pt 2.92, 4 Cs 2.92

---

Model ii:
Density functional theory data (PBE-GGA) for a relaxed structure of CsLiPtW.

Crystal system = cubic
Space-group type = No. 216
Size of the total moment = 4.0 Bohr magnetons per cell

Cell lengths 5.0530, 5.0530, 5.0530 Å; angles 60.00, 60.00, 60.00 degrees
With the nearest neighbours (Å) after each atom.
Positions (direct):
1 Cs 0.0000 0.0000 0.0000  4 Li 3.09, 4 Pt 3.09
2 Li 0.7500 0.7500 0.7500  4 W 3.09, 4 Cs 3.09
3 Pt 0.2500 0.2500 0.2500  4 W 3.09, 4 Cs 3.09
4 W 0.5000 0.5000 0.5000  4 Li 3.09, 4 Pt 3.09

---

Result of the stability comparison: model ii is the least stable of them.

---

Model i:
Density functional theory data (PBE-GGA) for a relaxed structure of CsLiSm.

Crystal system = cubic
Space-group type = No. 216
Size of the total moment = 0.1 Bohr magnetons per cell

Cell lengths 5.8004, 5.8004, 5.8004 Å; angles 60.00, 60.00, 60.00 degrees
With the nearest neighbours (Å) after each atom.
Positions (direct):
1 Cs 0.0000 0.0000 0.0000  4 Li 3.55
2 Li 0.2500 0.2500 0.2500  4 Sm 3.55, 4 Cs 3.55
3 Sm 0.5000 0.5000 0.5000  4 Li 3.55

---

Model ii:
Density functional theory data (PBE-GGA) for a relaxed structure of CsLiSm.

Crystal system = cubic
Space-group type = No. 216
Size of the total moment = 0.7 Bohr magnetons per cell

Cell lengths 5.3745, 5.3745, 5.3745 Å; angles 60.00, 60.00, 60.00 degrees
With the nearest neighbours (Å) after each atom.
Positions (direct):
1 Cs 0.0000 0.0000 0.0000  4 Sm 3.29, 4 Li 3.29
2 Li 0.2500 0.2500 0.2500  4 Cs 3.29
3 Sm 0.7500 0.7500 0.7500  4 Cs 3.29

---

Result of the stability comparison: model ii is the least stable of them.